First-principles (GGA-PBE) data for a relaxed structure of MgBe4Se, as listed in the Alexandria database.

Structure (CIF):
```
data_MgBe4Se
_cell_length_a 6.6624
_cell_length_b 6.6624
_cell_length_c 6.6624
_cell_angle_alpha 90.00
_cell_angle_beta 90.00
_cell_angle_gamma 90.00
_symmetry_space_group_name_H-M 'F -4 3 m'
_symmetry_Int_Tables_number 216
_symmetry_space_group_name_Hall 'F -4 2 3'
loop_
_atom_site_label
_atom_site_type_symbol
_atom_site_fract_x
_atom_site_fract_y
_atom_site_fract_z
Mg1 Mg 0.0000 0.0000 0.0000
Be1 Be 0.1287 0.1287 0.6287
Se1 Se 0.2500 0.2500 0.2500
```

Calculated values
Total energy in eV per atom: -2.95
Total magnetization in μB per formula unit: 0.0
ρ in g/cm3: 3.129


First-principles (GGA-PBE) data for a relaxed structure of TiTlInBr6, as listed in the Alexandria database.

Structure (CIF):
```
data_TiTlInBr6
_cell_length_a 7.6803
_cell_length_b 13.3520
_cell_length_c 6.5425
_cell_angle_alpha 90.00
_cell_angle_beta 90.08
_cell_angle_gamma 90.00
_symmetry_space_group_name_H-M 'C 1 2 1'
_symmetry_Int_Tables_number 5
_symmetry_space_group_name_Hall 'C 2y'
loop_
_atom_site_label
_atom_site_type_symbol
_atom_site_fract_x
_atom_site_fract_y
_atom_site_fract_z
Ti1 Ti 0.0000 0.0000 0.0000
Tl1 Tl 0.0000 0.6671 0.0000
In1 In 0.0000 0.3339 0.5000
Br1 Br 0.1301 0.1350 0.7734
Br2 Br 0.1376 0.8672 0.7735
Br3 Br 0.2304 0.4975 0.7741
```

Calculated values
Total energy in eV per atom: -3.52
Total magnetization in μB per formula unit: 0.0
ρ in g/cm3: 4.190